Entry 1:
TlSb2Rh | PBE-GGA | relaxed

- Raw formation energy: 280 meV per atom
- SG: No. 119
- Magnetization: 0.000 μB per atom
- Relative energy among the computed polymorphs: 472 meV per atom
- Final energy: -4.211 eV/atom

a = 5.4186 Å, b = 5.4186 Å, c = 5.4186 Å
α = 129.58°, β = 129.58°, γ = 74.08°
Atoms (fractional coordinates):
Tl 0.5000 0.5000 0.0000
Sb 0.0000 0.0000 0.0000
Sb 0.2500 0.7500 0.5000
Rh 0.7500 0.2500 0.5000


Entry 2:
Sc2AlGa | PBE-GGA | relaxed

- SG: No. 2
- Magnetization: 0.000 μB per atom
- Energy relative to the elements: -0.320 eV/atom
- Final energy: -5.179 eV/atom

a = 8.2253 Å, b = 4.8435 Å, c = 8.0786 Å
α = 54.10°, β = 157.26°, γ = 135.91°
Atoms (fractional coordinates):
Sc 0.0061 0.7561 0.7536
Sc 0.9939 0.2439 0.2464
Ga 0.0000 0.5000 0.5000
Al 0.0000 0.0000 0.0000


Entry 3:
Be2CdSi | PBE-GGA | relaxed

- Raw formation energy: 406 meV per atom
- SG: No. 8
- Magnetization: 0.000 μB per atom
- Relative energy among the computed polymorphs: 0 meV per atom
- Final energy: -3.042 eV/atom

a = 3.9180 Å, b = 3.9180 Å, c = 5.5991 Å
α = 83.47°, β = 83.47°, γ = 42.96°
Atoms (fractional coordinates):
Be 0.0099 0.0099 0.9493
Be 0.7353 0.7353 0.8466
Cd 0.4819 0.4819 0.5422
Si 0.2729 0.2729 0.1619


Entry 4:
Ca2IrBr | PBE-GGA | relaxed

- Raw formation energy: -695 meV per atom
- SG: No. 99
- Magnetization: 0.000 μB per atom
- Relative energy among the computed polymorphs: 177 meV per atom
- Final energy: -4.329 eV/atom

a = 4.2049 Å, b = 4.2087 Å, c = 5.7806 Å
α = 90.00°, β = 90.00°, γ = 90.00°
Atoms (fractional coordinates):
Ir 0.0000 0.0000 0.3746
Ca 0.5000 0.5000 0.3735
Ca 0.0000 0.0000 0.8786
Br 0.5000 0.5000 0.8733


Volume across the listed records, respectively: 23.0 20.8 14.5 25.6 A^3/atom.